Computed, not measured: a geometry-optimized FeIrW structure at the PBE level of DFT.

Geometry as CIF:
```
data_FeIrW
_cell_length_a 5.733
_cell_length_b 5.733
_cell_length_c 5.733
_cell_angle_alpha 90.00
_cell_angle_beta 90.00
_cell_angle_gamma 90.00
_space_group_name_H-M_alt 'F -4 3 m'
_space_group_IT_number 216
_space_group_name_Hall 'F -4 2 3'
loop_
_atom_site_label
_atom_site_type_symbol
_atom_site_fract_x
_atom_site_fract_y
_atom_site_fract_z
_atom_site_occupancy
Fe1 Fe 0.000 0.000 0.000 1
Ir1 Ir 0.250 0.250 0.750 1
W1 W 0.250 0.250 0.250 1
```

Output
Its energy above the most stable polymorph in this dataset is 1.48 eV per formula unit. Its calculated formation energy is 45 kJ/mol of atoms. Its total energy is -9.6219 eV/atom. As for the crystal system: cubic. The calculation puts the density of states at the Fermi level at 1.236 states/eV/atom. The value obtained for the volume is 188.4 Å³/cell.


Computed, not measured: a geometry-optimized FeIrW structure at the PBE level of DFT.

Geometry as CIF:
```
data_FeIrW
_cell_length_a 3.163
_cell_length_b 3.163
_cell_length_c 8.546
_cell_angle_alpha 90.00
_cell_angle_beta 90.00
_cell_angle_gamma 90.00
_space_group_name_H-M_alt 'I 4 m m'
_space_group_IT_number 107
_space_group_name_Hall 'I 4 -2'
loop_
_atom_site_label
_atom_site_type_symbol
_atom_site_fract_x
_atom_site_fract_y
_atom_site_fract_z
_atom_site_occupancy
Fe1 Fe 0.000 0.000 0.000 1
Ir1 Ir 0.000 0.000 0.667 1
W1 W 0.000 0.000 0.345 1
```

Output
Its energy above the most stable polymorph in this dataset is 0.22 eV per formula unit. Its calculated formation energy is 5 kJ/mol of atoms. Its total energy is -10.0433 eV/atom. As for the crystal system: tetragonal. The calculation puts the density of states at the Fermi level at 1.059 states/eV/atom. The value obtained for the volume is 85.5 Å³/cell.


Computed, not measured: a geometry-optimized FeIrW structure at the PBE level of DFT.

Geometry as CIF:
```
data_FeIrW
_cell_length_a 4.335
_cell_length_b 5.335
_cell_length_c 7.299
_cell_angle_alpha 90.00
_cell_angle_beta 90.00
_cell_angle_gamma 90.00
_space_group_name_H-M_alt 'I m m a'
_space_group_IT_number 74
_space_group_name_Hall '-I 2b 2'
loop_
_atom_site_label
_atom_site_type_symbol
_atom_site_fract_x
_atom_site_fract_y
_atom_site_fract_z
_atom_site_occupancy
Fe1 Fe 0.000 0.250 0.182 1
Ir1 Ir 0.000 0.250 0.846 1
W1 W 0.000 0.000 0.500 1
```

Output
Its energy above the most stable polymorph in this dataset is 0.19 eV per formula unit. Its calculated formation energy is 4 kJ/mol of atoms. Its total energy is -10.0543 eV/atom. As for the crystal system: orthorhombic. The calculation puts the density of states at the Fermi level at 1.163 states/eV/atom. The value obtained for the volume is 168.8 Å³/cell.


Computed, not measured: a geometry-optimized FeIrW structure at the PBE level of DFT.

Geometry as CIF:
```
data_FeIrW
_cell_length_a 4.2563
_cell_length_b 4.2563
_cell_length_c 2.6885
_cell_angle_alpha 90.00
_cell_angle_beta 90.00
_cell_angle_gamma 120.00
_space_group_name_H-M_alt 'P -6 m 2'
_space_group_IT_number 187
_space_group_name_Hall 'P -6 2'
loop_
_atom_site_label
_atom_site_type_symbol
_atom_site_fract_x
_atom_site_fract_y
_atom_site_fract_z
_atom_site_occupancy
Fe1 Fe 0.0000 0.0000 0.0000 1
Ir1 Ir 0.6667 0.3333 0.5000 1
W1 W 0.3333 0.6667 0.0000 1
```

Output
Its energy above the most stable polymorph in this dataset is 0.08 eV per formula unit. Its calculated formation energy is 0 kJ/mol of atoms. Its total energy is -10.0885 eV/atom. As for the crystal system: hexagonal. The calculation puts the density of states at the Fermi level at 0.637 states/eV/atom. The value obtained for the volume is 42.2 Å³/cell.


Computed, not measured: a geometry-optimized Fe4Ir15W structure at the PBE level of DFT.

Geometry as CIF:
```
data_Fe4Ir15W
_cell_length_a 3.853
_cell_length_b 3.853
_cell_length_c 19.175
_cell_angle_alpha 90.00
_cell_angle_beta 90.00
_cell_angle_gamma 90.00
_space_group_name_H-M_alt 'P 4/m m m'
_space_group_IT_number 123
_space_group_name_Hall '-P 4 2'
loop_
_atom_site_label
_atom_site_type_symbol
_atom_site_fract_x
_atom_site_fract_y
_atom_site_fract_z
_atom_site_occupancy
Fe1 Fe 0.000 0.000 0.099 1
Fe2 Fe 0.000 0.000 0.296 1
Ir1 Ir 0.000 0.500 0.000 1
Ir2 Ir 0.000 0.500 0.199 1
Ir3 Ir 0.000 0.500 0.399 1
Ir4 Ir 0.500 0.500 0.099 1
Ir5 Ir 0.500 0.500 0.299 1
Ir6 Ir 0.500 0.500 0.500 1
W1 W 0.000 0.000 0.500 1
```

Output
Its calculated formation energy is -10 kJ/mol of atoms. Its total energy is -9.0855 eV/atom. As for the crystal system: tetragonal. The calculation puts the density of states at the Fermi level at 0.945 states/eV/atom. The value obtained for the volume is 284.7 Å³/cell.


Computed, not measured: a geometry-optimized Fe2Ir8W structure at the PBE level of DFT.

Geometry as CIF:
```
data_Fe2Ir8W
_cell_length_a 7.990
_cell_length_b 10.052
_cell_length_c 4.039
_cell_angle_alpha 90.00
_cell_angle_beta 90.00
_cell_angle_gamma 90.00
_space_group_name_H-M_alt 'C m m m'
_space_group_IT_number 65
_space_group_name_Hall '-C 2 2'
loop_
_atom_site_label
_atom_site_type_symbol
_atom_site_fract_x
_atom_site_fract_y
_atom_site_fract_z
_atom_site_occupancy
Fe1 Fe 0.000 0.114 0.000 1
Ir1 Ir 0.000 0.239 0.500 1
Ir2 Ir 0.165 0.000 0.500 1
Ir3 Ir 0.167 0.367 0.000 1
W1 W 0.000 0.500 0.500 1
```

Output
Its calculated formation energy is 9 kJ/mol of atoms. Its total energy is -9.0653 eV/atom. As for the crystal system: orthorhombic. The calculation puts the density of states at the Fermi level at 1.038 states/eV/atom. The value obtained for the volume is 324.4 Å³/cell.


Computed, not measured: a geometry-optimized Fe2Ir2W structure at the PBE level of DFT.

Geometry as CIF:
```
data_Fe2Ir2W
_cell_length_a 7.127
_cell_length_b 7.127
_cell_length_c 2.677
_cell_angle_alpha 90.00
_cell_angle_beta 90.00
_cell_angle_gamma 90.00
_space_group_name_H-M_alt 'P 4/m b m'
_space_group_IT_number 127
_space_group_name_Hall '-P 4 2ab'
loop_
_atom_site_label
_atom_site_type_symbol
_atom_site_fract_x
_atom_site_fract_y
_atom_site_fract_z
_atom_site_occupancy
Fe1 Fe 0.169 0.331 0.000 1
Ir1 Ir 0.129 0.629 0.500 1
W1 W 0.000 0.000 0.500 1
```

Output
Its energy above the most stable polymorph in this dataset is 1.01 eV per formula unit. Its calculated formation energy is 18 kJ/mol of atoms. Its total energy is -9.3368 eV/atom. As for the crystal system: tetragonal. The calculation puts the density of states at the Fermi level at 2.407 states/eV/atom. The value obtained for the volume is 136.0 Å³/cell.


Computed, not measured: a geometry-optimized FeIrW structure at the PBE level of DFT.

Geometry as CIF:
```
data_FeIrW
_cell_length_a 10.284
_cell_length_b 2.699
_cell_length_c 7.306
_cell_angle_alpha 90.00
_cell_angle_beta 122.20
_cell_angle_gamma 90.00
_space_group_name_H-M_alt 'C 1 2/m 1'
_space_group_IT_number 12
_space_group_name_Hall '-C 2y'
loop_
_atom_site_label
_atom_site_type_symbol
_atom_site_fract_x
_atom_site_fract_y
_atom_site_fract_z
_atom_site_occupancy
Fe1 Fe 0.109 0.000 0.473 1
Ir1 Ir 0.135 0.500 0.811 1
W1 W 0.131 0.500 0.180 1
```

Output
Its energy above the most stable polymorph in this dataset is 0.54 eV per formula unit. Its calculated formation energy is 15 kJ/mol of atoms. Its total energy is -9.9355 eV/atom. As for the crystal system: monoclinic. The calculation puts the density of states at the Fermi level at 1.073 states/eV/atom. The value obtained for the volume is 171.6 Å³/cell.


Computed, not measured: a geometry-optimized Fe2IrW2 structure at the PBE level of DFT.

Geometry as CIF:
```
data_Fe2IrW2
_cell_length_a 6.843
_cell_length_b 6.843
_cell_length_c 2.890
_cell_angle_alpha 90.00
_cell_angle_beta 90.00
_cell_angle_gamma 90.00
_space_group_name_H-M_alt 'P 4/m b m'
_space_group_IT_number 127
_space_group_name_Hall '-P 4 2ab'
loop_
_atom_site_label
_atom_site_type_symbol
_atom_site_fract_x
_atom_site_fract_y
_atom_site_fract_z
_atom_site_occupancy
Fe1 Fe 0.128 0.372 0.000 1
Ir1 Ir 0.000 0.000 0.000 1
W1 W 0.173 0.673 0.500 1
```

Output
Its calculated formation energy is 4 kJ/mol of atoms. Its total energy is -10.2956 eV/atom. As for the crystal system: tetragonal. The calculation puts the density of states at the Fermi level at 0.711 states/eV/atom. The value obtained for the volume is 135.3 Å³/cell.


Computed, not measured: a geometry-optimized Fe4IrW structure at the PBE level of DFT.

Geometry as CIF:
```
data_Fe4IrW
_cell_length_a 6.639
_cell_length_b 6.639
_cell_length_c 6.639
_cell_angle_alpha 90.00
_cell_angle_beta 90.00
_cell_angle_gamma 90.00
_space_group_name_H-M_alt 'F -4 3 m'
_space_group_IT_number 216
_space_group_name_Hall 'F -4 2 3'
loop_
_atom_site_label
_atom_site_type_symbol
_atom_site_fract_x
_atom_site_fract_y
_atom_site_fract_z
_atom_site_occupancy
Fe1 Fe 0.125 0.125 0.125 1
Ir1 Ir 0.250 0.250 0.750 1
W1 W 0.000 0.000 0.500 1
```

Output
Its calculated formation energy is -7 kJ/mol of atoms. Its total energy is -9.3523 eV/atom. As for the crystal system: cubic. The calculation puts the density of states at the Fermi level at 0.817 states/eV/atom. The value obtained for the volume is 292.6 Å³/cell.


Question: Look up the calculated formation energy of the eighth one.
Answer: 15 kJ/mol of atoms


Repeat the ninth record exactly.
Computed, not measured: a geometry-optimized Fe2IrW2 structure at the PBE level of DFT.

Geometry as CIF:
```
data_Fe2IrW2
_cell_length_a 6.843
_cell_length_b 6.843
_cell_length_c 2.890
_cell_angle_alpha 90.00
_cell_angle_beta 90.00
_cell_angle_gamma 90.00
_space_group_name_H-M_alt 'P 4/m b m'
_space_group_IT_number 127
_space_group_name_Hall '-P 4 2ab'
loop_
_atom_site_label
_atom_site_type_symbol
_atom_site_fract_x
_atom_site_fract_y
_atom_site_fract_z
_atom_site_occupancy
Fe1 Fe 0.128 0.372 0.000 1
Ir1 Ir 0.000 0.000 0.000 1
W1 W 0.173 0.673 0.500 1
```

Output
Its calculated formation energy is 4 kJ/mol of atoms. Its total energy is -10.2956 eV/atom. As for the crystal system: tetragonal. The calculation puts the density of states at the Fermi level at 0.711 states/eV/atom. The value obtained for the volume is 135.3 Å³/cell.